1.
This record from Alexandria via LeMat-Bulk describes CdRuBr4 after structural relaxation. The functional is PBE-GGA.

Unit cell a=6.233 b=6.233 c=6.233 alpha=60.00 beta=60.00 gamma=60.00
Atoms (fractional coordinates):
Cd1 0.000 0.000 0.000
Ru1 0.750 0.750 0.750
Br1 0.375 0.375 0.375
Br2 0.375 0.375 0.875
Br3 0.375 0.875 0.375
Br4 0.875 0.375 0.375

total magnetization = 0.31 μB/atom
uncorrected energy = -10.36 eV/cell

---

2.
This record from Alexandria via LeMat-Bulk describes ErCuAsO after structural relaxation. The functional is PBE-GGA.

Unit cell a=3.848 b=3.848 c=8.796 alpha=90.00 beta=90.00 gamma=90.00
Atoms (fractional coordinates):
Er1 0.250 0.250 0.126
Er2 0.750 0.750 0.874
Cu1 0.250 0.750 0.500
Cu2 0.750 0.250 0.500
As1 0.250 0.250 0.674
As2 0.750 0.750 0.326
O1 0.250 0.750 0.000
O2 0.750 0.250 0.000

total magnetization = 0.00 μB/atom
uncorrected energy = -50.39 eV/cell

---

3.
This record from Alexandria via LeMat-Bulk describes BaTlCu2Cl8 after structural relaxation. The functional is PBE-GGA.

Unit cell a=8.666 b=8.666 c=8.666 alpha=134.96 beta=134.96 gamma=65.59
Atoms (fractional coordinates):
Ba1 0.000 0.000 0.000
Tl1 0.750 0.250 0.500
Cu1 0.250 0.750 0.500
Cu2 0.500 0.500 0.000
Cl1 0.025 0.963 0.608
Cl2 0.037 0.646 0.062
Cl3 0.160 0.288 0.597
Cl4 0.354 0.416 0.392
Cl5 0.438 0.840 0.129
Cl6 0.584 0.975 0.938
Cl7 0.691 0.562 0.403
Cl8 0.712 0.309 0.871

total magnetization = 0.09 μB/atom
uncorrected energy = -39.13 eV/cell

---

4.
This record from Alexandria via LeMat-Bulk describes MnFeAu4 after structural relaxation. The functional is PBE-GGA.

Unit cell a=5.418 b=5.418 c=5.418 alpha=60.00 beta=60.00 gamma=60.00
Atoms (fractional coordinates):
Mn1 0.000 0.000 0.000
Fe1 0.250 0.250 0.250
Au1 0.125 0.625 0.625
Au2 0.625 0.125 0.625
Au3 0.625 0.625 0.125
Au4 0.625 0.625 0.625

total magnetization = 1.23 μB/atom
ΔE_f = 0.4189 eV/atom
uncorrected energy = -28.23 eV/cell